(1)
Density functional theory data (GGA-PBE) for an optimized crystal structure of KAgSnP2.

Lattice parameters (Å, degrees): 5.375 5.673 5.375 90.00 90.00 90.00
Positions (direct):
Ag1 0.500 0.500 0.500
P1 0.000 0.000 0.500
P2 0.500 0.000 0.000
K1 0.000 0.000 0.000
Sn1 0.000 0.500 0.000

Computed properties:
- space group = No. 123
- DFT total energy (eV/atom) = -2.08
- ΔH_f (0 K) (kJ per mole of atoms) = 161.67

(2)
Density functional theory data (GGA-PBE) for an optimized crystal structure of CaMo2Ru.

Lattice parameters (Å, degrees): 9.927 9.927 9.927 16.68 16.68 16.68
Positions (direct):
Mo1 0.510 0.510 0.510
Mo2 0.990 0.990 0.990
Ca1 0.750 0.750 0.750
Ru1 0.250 0.250 0.250

Computed properties:
- space group = No. 166
- DFT total energy (eV/atom) = -7.60
- ΔH_f (0 K) (kJ per mole of atoms) = 61.57
- energy relative to the lowest polymorph listed for this composition (meV/atom) = 228

(3)
Density functional theory data (GGA-PBE) for an optimized crystal structure of Pm6Sm12Dy.

Lattice parameters (Å, degrees): 8.682 8.682 8.682 89.13 89.13 89.13
Positions (direct):
Sm1 0.564 0.222 0.463
Sm2 0.537 0.436 0.778
Sm3 0.778 0.537 0.436
Sm4 0.983 0.804 0.641
Sm5 0.804 0.641 0.983
Sm6 0.463 0.564 0.222
Sm7 0.196 0.359 0.017
Sm8 0.436 0.778 0.537
Sm9 0.222 0.463 0.564
Sm10 0.641 0.983 0.804
Sm11 0.359 0.017 0.196
Sm12 0.017 0.196 0.359
Pm1 0.303 0.738 0.906
Pm2 0.738 0.906 0.303
Pm3 0.094 0.697 0.262
Pm4 0.697 0.262 0.094
Pm5 0.906 0.303 0.738
Pm6 0.262 0.094 0.697
Dy1 0.000 0.000 0.000

Computed properties:
- space group = No. 148
- DFT total energy (eV/atom) = -4.59
- ΔH_f (0 K) (kJ per mole of atoms) = 13.26
- energy relative to the lowest polymorph listed for this composition (meV/atom) = 0

(4)
Density functional theory data (GGA-PBE) for an optimized crystal structure of CaTl2Fe.

Lattice parameters (Å, degrees): 4.458 3.867 6.210 71.74 90.00 90.00
Positions (direct):
Tl1 0.000 0.817 0.991
Tl2 0.500 0.194 0.237
Fe1 0.500 0.948 0.729
Ca1 0.000 0.542 0.542

Computed properties:
- space group = No. 6
- DFT total energy (eV/atom) = -3.53
- ΔH_f (0 K) (kJ per mole of atoms) = 26.31

(5)
Density functional theory data (GGA-PBE) for an optimized crystal structure of Ba2ZrRh.

Lattice parameters (Å, degrees): 5.521 5.521 3.953 90.00 90.00 90.00
Positions (direct):
Ba1 0.000 0.000 0.000
Ba2 0.500 0.500 0.000
Zr1 0.000 0.500 0.500
Rh1 0.500 0.000 0.500

Computed properties:
- space group = No. 123
- DFT total energy (eV/atom) = -4.30
- ΔH_f (0 K) (kJ per mole of atoms) = 61.51
- energy relative to the lowest polymorph listed for this composition (meV/atom) = 698

(6)
Density functional theory data (GGA-PBE) for an optimized crystal structure of Rb2MgCrBr6.

Lattice parameters (Å, degrees): 7.351 7.352 11.703 90.00 89.97 90.00
Positions (direct):
Cr1 0.500 0.000 0.000
Cr2 0.000 0.500 0.500
Rb1 0.001 0.998 0.250
Rb2 0.499 0.498 0.250
Rb3 0.999 0.002 0.750
Rb4 0.501 0.502 0.750
Br1 0.706 0.318 0.501
Br2 0.498 0.001 0.724
Br3 0.182 0.206 0.499
Br4 0.318 0.706 0.001
Br5 0.294 0.682 0.499
Br6 0.818 0.794 0.501
Br7 0.206 0.182 0.001
Br8 0.002 0.501 0.776
Br9 0.794 0.818 0.999
Br10 0.682 0.294 0.999
Br11 0.998 0.499 0.224
Br12 0.502 0.999 0.276
Mg1 0.500 0.000 0.500
Mg2 0.000 0.500 0.000

Computed properties:
- uncorrected formation energy (eV per atom) = -1.31
- space group = No. 14
- DFT total energy (eV/atom) = -3.63

(7)
Density functional theory data (GGA-PBE) for an optimized crystal structure of TmGa2Ni.

Lattice parameters (Å, degrees): 4.078 4.078 5.478 68.15 68.15 60.00
Positions (direct):
Tm1 0.500 0.500 0.500
Ga1 0.286 0.286 0.142
Ga2 0.714 0.714 0.858
Ni1 0.000 0.000 0.000

Computed properties:
- space group = No. 166
- DFT total energy (eV/atom) = -4.63
- ΔH_f (0 K) (kJ per mole of atoms) = -52.91

(8)
Density functional theory data (GGA-PBE) for an optimized crystal structure of Ce2Pm4Bi3N2.

Lattice parameters (Å, degrees): 4.838 4.838 13.613 100.24 100.24 90.00
Positions (direct):
Pm1 0.417 0.917 0.833
Pm2 0.583 0.083 0.167
Pm3 0.917 0.417 0.833
Pm4 0.083 0.583 0.167
Ce1 0.309 0.309 0.619
Ce2 0.691 0.691 0.381
Bi1 0.000 0.000 0.000
Bi2 0.821 0.821 0.643
Bi3 0.179 0.179 0.357
N1 0.607 0.607 0.214
N2 0.393 0.393 0.786

Computed properties:
- uncorrected formation energy (eV per atom) = -1.00
- space group = No. 139
- DFT total energy (eV/atom) = -6.38

(9)
Density functional theory data (GGA-PBE) for an optimized crystal structure of TiZn2HIr.

Lattice parameters (Å, degrees): 3.880 3.880 4.045 90.00 90.00 90.00
Positions (direct):
Zn1 0.500 0.000 0.000
Zn2 0.000 0.500 0.000
Ti1 0.000 0.000 0.500
Ir1 0.500 0.500 0.500
H1 0.000 0.000 0.000

Computed properties:
- space group = No. 123
- DFT total energy (eV/atom) = -4.71

(10)
Density functional theory data (GGA-PBE) for an optimized crystal structure of Hf6In2Pb.

Lattice parameters (Å, degrees): 5.071 8.642 9.236 90.00 89.99 90.00
Positions (direct):
Hf1 0.000 0.972 0.162
Hf2 0.000 0.672 0.581
Hf3 0.000 0.686 0.919
Hf4 0.500 0.186 0.581
Hf5 0.500 0.472 0.338
Hf6 0.000 0.314 0.081
Hf7 0.500 0.828 0.081
Hf8 0.500 0.172 0.919
Hf9 0.000 0.028 0.838
Hf10 0.000 0.328 0.419
Hf11 0.500 0.814 0.419
Hf12 0.500 0.528 0.662
In1 0.500 0.857 0.748
In2 0.000 0.643 0.248
In3 0.500 0.143 0.252
In4 0.000 0.357 0.752
Pb1 0.500 0.500 0.000
Pb2 0.000 0.000 0.500

Computed properties:
- space group = No. 58
- DFT total energy (eV/atom) = -7.69
- ΔH_f (0 K) (kJ per mole of atoms) = -2.96

(11)
Density functional theory data (GGA-PBE) for an optimized crystal structure of SnBiSb2.

Lattice parameters (Å, degrees): 4.309 4.309 8.449 75.23 75.23 60.00
Positions (direct):
Sn1 0.506 0.506 0.482
Sb1 0.241 0.241 0.277
Sb2 0.080 0.080 0.761
Bi1 0.673 0.673 0.981

Computed properties:
- uncorrected formation energy (eV per atom) = 0.07
- space group = No. 160
- DFT total energy (eV/atom) = -3.96
- energy relative to the lowest polymorph listed for this composition (meV/atom) = 43

(12)
Density functional theory data (GGA-PBE) for an optimized crystal structure of Gd2HoBr.

Lattice parameters (Å, degrees): 3.547 3.547 9.521 90.00 90.00 90.00
Positions (direct):
Ho1 0.500 0.500 0.500
Gd1 0.000 0.000 0.762
Gd2 0.000 0.000 0.238
Br1 0.500 0.500 0.000

Computed properties:
- uncorrected formation energy (eV per atom) = -0.46
- space group = No. 123
- DFT total energy (eV/atom) = -9.07
- energy relative to the lowest polymorph listed for this composition (meV/atom) = 76

(13)
Density functional theory data (GGA-PBE) for an optimized crystal structure of MgAuO2.

Lattice parameters (Å, degrees): 3.133 5.550 5.896 82.49 90.00 90.00
Positions (direct):
Mg1 0.270 0.250 0.500
Mg2 0.730 0.750 0.500
O1 0.229 0.552 0.679
O2 0.771 0.052 0.679
O3 0.229 0.948 0.321
O4 0.771 0.448 0.321
Au1 0.000 0.000 0.000
Au2 0.000 0.500 0.000

Computed properties:
- uncorrected formation energy (eV per atom) = -1.27
- space group = No. 13
- DFT total energy (eV/atom) = -4.96

(14)
Density functional theory data (GGA-PBE) for an optimized crystal structure of TlInBiS3.

Lattice parameters (Å, degrees): 4.649 8.252 9.570 98.80 90.00 90.00
Positions (direct):
Bi1 0.250 0.651 0.134
Bi2 0.750 0.349 0.866
S1 0.250 0.800 0.490
S2 0.250 0.579 0.862
S3 0.750 0.200 0.510
S4 0.250 0.133 0.861
S5 0.750 0.421 0.138
S6 0.750 0.867 0.139
In1 0.750 0.878 0.407
In2 0.250 0.122 0.593
Tl1 0.250 0.172 0.200
Tl2 0.750 0.828 0.800

Computed properties:
- uncorrected formation energy (eV per atom) = -0.32
- space group = No. 11
- DFT total energy (eV/atom) = -3.88

(15)
Density functional theory data (GGA-PBE) for an optimized crystal structure of Ce2MgZn2.

Lattice parameters (Å, degrees): 4.800 5.532 5.532 71.29 64.29 64.29
Positions (direct):
Ce1 0.181 0.319 0.319
Ce2 0.819 0.681 0.681
Zn1 0.500 0.708 0.292
Zn2 0.500 0.292 0.708
Mg1 0.000 0.000 0.000

Computed properties:
- space group = No. 71
- DFT total energy (eV/atom) = -3.35
- ΔH_f (0 K) (kJ per mole of atoms) = -14.24

(16)
Density functional theory data (GGA-PBE) for an optimized crystal structure of AcPmPBr.

Lattice parameters (Å, degrees): 5.269 5.269 5.269 60.00 60.00 60.00
Positions (direct):
P1 0.000 0.000 0.000
Ac1 0.750 0.750 0.750
Pm1 0.250 0.250 0.250
Br1 0.500 0.500 0.500

Computed properties:
- uncorrected formation energy (eV per atom) = -1.16
- space group = No. 216
- DFT total energy (eV/atom) = -5.15
- energy relative to the lowest polymorph listed for this composition (meV/atom) = 296

(17)
Density functional theory data (GGA-PBE) for an optimized crystal structure of CsTlInHg3.

Lattice parameters (Å, degrees): 8.594 8.233 8.106 120.52 90.00 90.00
Positions (direct):
Hg1 0.000 0.759 0.000
Hg2 0.250 0.247 0.495
Hg3 0.500 0.759 0.000
Hg4 0.500 0.241 0.000
Hg5 0.000 0.241 0.000
Hg6 0.750 0.753 0.505
Cs1 0.250 0.748 0.495
Cs2 0.750 0.252 0.505
Tl1 0.750 0.537 0.075
Tl2 0.250 0.463 0.925
In1 0.250 0.037 0.075
In2 0.750 0.963 0.925

Computed properties:
- space group = No. 63
- DFT total energy (eV/atom) = -1.22
- ΔH_f (0 K) (kJ per mole of atoms) = -7.23

(18)
Density functional theory data (GGA-PBE) for an optimized crystal structure of PmDyRh.

Lattice parameters (Å, degrees): 3.499 3.499 6.850 104.80 104.80 90.00
Positions (direct):
Pm1 0.299 0.299 0.599
Dy1 0.039 0.039 0.079
Rh1 0.661 0.661 0.323

Computed properties:
- space group = No. 107
- DFT total energy (eV/atom) = -6.07
- ΔH_f (0 K) (kJ per mole of atoms) = -48.01
- energy relative to the lowest polymorph listed for this composition (meV/atom) = 48

(19)
Density functional theory data (GGA-PBE) for an optimized crystal structure of LaS2ClF.

Lattice parameters (Å, degrees): 5.750 5.750 5.470 90.00 90.00 90.00
Positions (direct):
F1 0.500 0.500 0.500
S1 0.500 0.000 0.000
S2 0.000 0.500 0.000
Cl1 0.000 0.000 0.500
La1 0.000 0.000 0.000

Computed properties:
- uncorrected formation energy (eV per atom) = -0.67
- space group = No. 123
- DFT total energy (eV/atom) = -4.05
- energy relative to the lowest polymorph listed for this composition (meV/atom) = 301

(20)
Density functional theory data (GGA-PBE) for an optimized crystal structure of GeSb3Te6.

Lattice parameters (Å, degrees): 4.183 13.554 12.840 110.52 90.00 90.00
Positions (direct):
Ge1 0.750 0.962 0.689
Ge2 0.250 0.038 0.311
Te1 0.250 0.223 0.267
Te2 0.250 0.262 0.762
Te3 0.750 0.777 0.733
Te4 0.750 0.470 0.624
Te5 0.250 0.612 0.934
Te6 0.750 0.738 0.238
Te7 0.750 0.938 0.111
Te8 0.250 0.062 0.889
Te9 0.750 0.105 0.475
Te10 0.250 0.530 0.376
Te11 0.750 0.388 0.066
Te12 0.250 0.895 0.525
Sb1 0.750 0.438 0.851
Sb2 0.250 0.858 0.914
Sb3 0.250 0.303 0.556
Sb4 0.750 0.697 0.444
Sb5 0.750 0.142 0.086
Sb6 0.250 0.562 0.149

Computed properties:
- uncorrected formation energy (eV per atom) = -0.06
- space group = No. 11
- DFT total energy (eV/atom) = -3.65

(21)
Density functional theory data (GGA-PBE) for an optimized crystal structure of Ba2NiBi2.

Lattice parameters (Å, degrees): 7.705 7.705 5.574 90.00 90.00 90.00
Positions (direct):
Bi1 0.849 0.651 0.000
Bi2 0.151 0.349 0.000
Bi3 0.349 0.849 0.000
Bi4 0.651 0.151 0.000
Ni1 0.000 0.000 0.000
Ni2 0.500 0.500 0.000
Ba1 0.331 0.169 0.500
Ba2 0.831 0.331 0.500
Ba3 0.669 0.831 0.500
Ba4 0.169 0.669 0.500

Computed properties:
- space group = No. 127
- DFT total energy (eV/atom) = -3.82
- ΔH_f (0 K) (kJ per mole of atoms) = -32.92

(22)
Density functional theory data (GGA-PBE) for an optimized crystal structure of YTeRu2.

Lattice parameters (Å, degrees): 5.428 5.428 5.428 136.85 136.72 62.76
Positions (direct):
Te1 0.500 0.500 0.000
Ru1 0.000 0.000 0.000
Ru2 0.750 0.250 0.500
Y1 0.250 0.750 0.500

Computed properties:
- uncorrected formation energy (eV per atom) = -0.09
- space group = No. 44
- DFT total energy (eV/atom) = -7.13

(23)
Density functional theory data (GGA-PBE) for an optimized crystal structure of LaDy2Tl.

Lattice parameters (Å, degrees): 4.910 4.828 11.231 102.45 90.00 90.00
Positions (direct):
Dy1 0.750 0.445 0.889
Dy2 0.250 0.938 0.875
Dy3 0.250 0.555 0.111
Dy4 0.750 0.062 0.125
La1 0.750 0.691 0.384
La2 0.250 0.309 0.616
Tl1 0.250 0.159 0.319
Tl2 0.750 0.841 0.681

Computed properties:
- space group = No. 11
- DFT total energy (eV/atom) = -4.31
- ΔH_f (0 K) (kJ per mole of atoms) = -17.47
- energy relative to the lowest polymorph listed for this composition (meV/atom) = 0

(24)
Density functional theory data (GGA-PBE) for an optimized crystal structure of PrHoMg2.

Lattice parameters (Å, degrees): 3.885 5.403 5.403 90.00 90.00 90.00
Positions (direct):
Pr1 0.500 0.000 0.000
Mg1 0.000 0.000 0.500
Mg2 0.000 0.500 0.000
Ho1 0.500 0.500 0.500

Computed properties:
- space group = No. 123
- DFT total energy (eV/atom) = -3.23
- ΔH_f (0 K) (kJ per mole of atoms) = -8.80
- energy relative to the lowest polymorph listed for this composition (meV/atom) = 8